# 1
KPuMgSe3: optimized geometry, PBE-GGA.

Calculated values
For the uncorrected formation energy, the calculation gives -8.1 eV per formula unit. The total energy comes out at -71.171 eV/cell. The total magnetization comes out at 5.000 μB per formula unit. The symmetry is P2_1/m. The crystal system is monoclinic.

abc: 4.308 9.052 10.093
angles: 105.99 90.00 90.00
Site moments in Bohr magnetons follow the coordinates.
Fractional positions:
K (0.250, 0.203, 0.221)  0.00
K (0.750, 0.797, 0.779)  0.00
Pu (0.250, 0.670, 0.141)  5.14
Pu (0.750, 0.330, 0.859)  5.14
Mg (0.250, 0.087, 0.607)  0.00
Mg (0.750, 0.913, 0.393)  0.00
Se (0.750, 0.889, 0.137)  -0.07
Se (0.250, 0.111, 0.863)  -0.07
Se (0.250, 0.794, 0.464)  -0.02
Se (0.750, 0.206, 0.536)  -0.02
Se (0.750, 0.461, 0.152)  -0.12
Se (0.250, 0.539, 0.848)  -0.12

# 2
LaTa2P: optimized geometry, PBE-GGA.

Calculated values
The value obtained for the formation energy is -0.065 eV per atom. The total energy comes out at -34.301 eV/cell. The total magnetization comes out at 0.000 μB per formula unit. The symmetry is R3m. The crystal system is trigonal.

abc: 8.711 8.711 8.711
angles: 22.59 22.59 22.59
Fractional positions:
La (0.490, 0.490, 0.490)
P (0.737, 0.737, 0.737)
Ta (0.011, 0.011, 0.011)
Ta (0.262, 0.262, 0.262)

# 3
ScMoW2: optimized geometry, PBE-GGA.

Calculated values
The value obtained for the formation energy is 0.128 eV per atom. The total energy comes out at -42.555 eV/cell. The total magnetization comes out at 0.000 μB per formula unit. The symmetry is P2/m. The crystal system is monoclinic.

abc: 4.603 2.786 5.353
angles: 79.35 90.00 90.00
Fractional positions:
Mo (0.500, 0.250, 0.250)
Sc (0.500, 0.750, 0.750)
W (0.000, 0.027, 0.003)
W (0.000, 0.473, 0.497)